Entry 1:
First-principles (GGA-PBEsol) data for a relaxed Y3TcF crystal, as listed in Alexandria.

Properties
DOS(E_F), states/eV/cell: 8.093
Formation energy (no corrections), eV/atom: -0.0609

a b c (Å): 5.271 5.271 5.271
angles (deg): 90.00 90.00 90.00
Space group Pm-3m (No. 221)
Symmetry-distinct sites (fractional):
1 Y 0.000 0.000 0.500
2 Tc 0.000 0.000 0.000
3 F 0.500 0.500 0.500

***

Entry 2:
First-principles (GGA-PBEsol) data for a relaxed ZnTc2F crystal, as listed in Alexandria.

Properties
DOS(E_F), states/eV/cell: 20.606
Formation energy (no corrections), eV/atom: 0.5345

a b c (Å): 5.877 5.877 5.877
angles (deg): 90.00 90.00 90.00
Space group Fm-3m (No. 225)
Symmetry-distinct sites (fractional):
1 Zn 0.000 0.000 0.000
2 Tc 0.250 0.250 0.250
3 F 0.000 0.000 0.500

***

Entry 3:
First-principles (GGA-PBEsol) data for a relaxed ZrTcF3 crystal, as listed in Alexandria.

Properties
DOS(E_F), states/eV/cell: 6.481
Formation energy (no corrections), eV/atom: -1.2231

a b c (Å): 4.254 4.254 4.254
angles (deg): 90.00 90.00 90.00
Space group Pm-3m (No. 221)
Symmetry-distinct sites (fractional):
1 Zr 0.000 0.000 0.000
2 Tc 0.500 0.500 0.500
3 F 0.000 0.000 0.500

***

Entry 4:
First-principles (GGA-PBEsol) data for a relaxed TeF4 crystal, as listed in Alexandria.

Properties
DOS(E_F), states/eV/cell: 0.000
Formation energy (no corrections), eV/atom: -2.1411

a b c (Å): 5.573 5.927 9.721
angles (deg): 90.00 90.00 90.00
Space group P2_12_12_1 (No. 19)
Symmetry-distinct sites (fractional):
1 Te 0.144 0.007 0.384
2 F 0.058 0.723 0.250
3 F 0.108 0.173 0.969
4 F 0.135 0.956 0.741
5 F 0.208 0.727 0.961

***

Entry 5:
First-principles (GGA-PBEsol) data for a relaxed TlTe2F crystal, as listed in Alexandria.

Properties
DOS(E_F), states/eV/cell: 9.341
Formation energy (no corrections), eV/atom: -0.2810

a b c (Å): 4.3778 4.3778 23.4031
angles (deg): 90.00 90.00 120.00
Space group R-3m (No. 166, hexagonal axes)
Symmetry-distinct sites (fractional):
1 Tl 0.0000 0.0000 0.0000
2 Te 0.0000 0.0000 0.4044
3 F 0.0000 0.0000 0.5000

***

Entry 6:
First-principles (GGA-PBEsol) data for a relaxed TlTeF2 crystal, as listed in Alexandria.

Properties
DOS(E_F), states/eV/cell: 9.561
Formation energy (no corrections), eV/atom: -0.9722

a b c (Å): 7.013 7.013 6.307
angles (deg): 90.00 90.00 90.00
Space group I-42d (No. 122)
Symmetry-distinct sites (fractional):
1 Tl 0.000 0.000 0.000
2 Te 0.000 0.000 0.500
3 F 0.219 0.750 0.625

***

Entry 7:
First-principles (GGA-PBEsol) data for a relaxed TeW2F crystal, as listed in Alexandria.

Properties
DOS(E_F), states/eV/cell: 19.666
Formation energy (no corrections), eV/atom: 0.6248

a b c (Å): 6.277 6.277 6.277
angles (deg): 90.00 90.00 90.00
Space group Fm-3m (No. 225)
Symmetry-distinct sites (fractional):
1 Te 0.000 0.000 0.000
2 W 0.250 0.250 0.250
3 F 0.000 0.000 0.500

***

Entry 8:
First-principles (GGA-PBEsol) data for a relaxed ZnTe3F crystal, as listed in Alexandria.

Properties
DOS(E_F), states/eV/cell: 1.784
Formation energy (no corrections), eV/atom: 0.1080

a b c (Å): 4.920 4.920 4.920
angles (deg): 90.00 90.00 90.00
Space group Pm-3m (No. 221)
Symmetry-distinct sites (fractional):
1 Zn 0.000 0.000 0.000
2 Te 0.000 0.500 0.500
3 F 0.500 0.500 0.500

***

Entry 9:
First-principles (GGA-PBEsol) data for a relaxed ZrTe2F crystal, as listed in Alexandria.

Properties
DOS(E_F), states/eV/cell: 10.861
Formation energy (no corrections), eV/atom: -0.5779

a b c (Å): 5.965 5.965 13.152
angles (deg): 90.00 90.00 90.00
Space group I-42d (No. 122)
Symmetry-distinct sites (fractional):
1 Zr 0.000 0.000 0.000
2 Te 0.229 0.250 0.625
3 F 0.000 0.000 0.500

***

Entry 10:
First-principles (GGA-PBEsol) data for a relaxed ThF4 crystal, as listed in Alexandria.

Properties
DOS(E_F), states/eV/cell: 0.000
Formation energy (no corrections), eV/atom: -4.1539

a b c (Å): 13.019 10.976 8.518
angles (deg): 90.00 126.25 90.00
Space group C2/c (No. 15)
Symmetry-distinct sites (fractional):
1 Th 0.000 0.212 0.250
2 Th 0.204 0.428 0.829
3 F 0.000 0.397 0.750
4 F 0.108 0.295 0.567
5 F 0.117 0.380 0.280
6 F 0.122 0.054 0.458
7 F 0.125 0.152 0.154
8 F 0.210 0.470 0.102
9 F 0.250 0.250 0.000

***

Entry 11:
First-principles (GGA-PBEsol) data for a relaxed TiTl3F crystal, as listed in Alexandria.

Properties
DOS(E_F), states/eV/cell: 3.707
Formation energy (no corrections), eV/atom: 0.1998

a b c (Å): 5.399 5.399 5.399
angles (deg): 90.00 90.00 90.00
Space group Pm-3m (No. 221)
Symmetry-distinct sites (fractional):
1 Ti 0.000 0.000 0.000
2 Tl 0.000 0.000 0.500
3 F 0.500 0.500 0.500

***

Entry 12:
First-principles (GGA-PBEsol) data for a relaxed YTiF3 crystal, as listed in Alexandria.

Properties
DOS(E_F), states/eV/cell: 4.601
Formation energy (no corrections), eV/atom: -2.1071

a b c (Å): 4.177 4.177 4.177
angles (deg): 90.00 90.00 90.00
Space group Pm-3m (No. 221)
Symmetry-distinct sites (fractional):
1 Y 0.000 0.000 0.000
2 Ti 0.500 0.500 0.500
3 F 0.000 0.500 0.500

***

formation energy (no corrections) of number 12 (YTiF3)? -2.1071 eV/atom